An optimized crystal structure of LaY7Ho4, computed with PBE.

abc: 6.734 6.734 12.649
angles: 114.32 114.32 51.92
Atoms (fractional coordinates):
La: 0.000 0.000 0.000
Y: 0.054 0.054 0.338
Y: 0.210 0.210 0.922
Y: 0.364 0.364 0.493
Y: 0.500 0.500 0.000
Y: 0.636 0.636 0.507
Y: 0.790 0.790 0.078
Y: 0.946 0.946 0.662
Ho: 0.257 0.257 0.687
Ho: 0.370 0.370 0.226
Ho: 0.630 0.630 0.774
Ho: 0.743 0.743 0.313

Density: 5.9 g cm⁻³
Energy relative to the elements: 0.2816 eV per atom
Total DFT energy (no corrections): -65.11 eV for the cell shown